Entry 1:
A plane-wave DFT calculation with GGA-PBE was carried out for LiErGaSi after structural relaxation.

V, Å³/atom: 19.0
SG: F-43m, No. 216
Magnetic moment, μB/f.u.: 0.00
Formation energy without anion corrections, eV/atom: -0.336

a = 6.7222 Å, b = 6.7222 Å, c = 6.7222 Å
α = 90.00°, β = 90.00°, γ = 90.00°
With the nearest neighbours (Å) after each atom.
Element x y z (fractional)
Li 0.0000 0.0000 0.0000  4 Si 2.91, 4 Ga 2.91
Li 0.0000 0.5000 0.5000  4 Si 2.91, 4 Ga 2.91
Li 0.5000 0.0000 0.5000  4 Si 2.91, 4 Ga 2.91
Li 0.5000 0.5000 0.0000  4 Si 2.91, 4 Ga 2.91
Er 0.0000 0.0000 0.5000  4 Si 2.91, 4 Ga 2.91
Er 0.0000 0.5000 0.0000  4 Si 2.91, 4 Ga 2.91
Er 0.5000 0.0000 0.0000  4 Si 2.91, 4 Ga 2.91
Er 0.5000 0.5000 0.5000  4 Si 2.91, 4 Ga 2.91
Ga 0.2500 0.2500 0.7500  4 Li 2.91, 4 Er 2.91
Ga 0.2500 0.7500 0.2500  4 Li 2.91, 4 Er 2.91
Ga 0.7500 0.2500 0.2500  4 Li 2.91, 4 Er 2.91
Ga 0.7500 0.7500 0.7500  4 Li 2.91, 4 Er 2.91
Si 0.2500 0.2500 0.2500  4 Li 2.91, 4 Er 2.91
Si 0.2500 0.7500 0.7500  4 Li 2.91, 4 Er 2.91
Si 0.7500 0.2500 0.7500  4 Li 2.91, 4 Er 2.91
Si 0.7500 0.7500 0.2500  4 Li 2.91, 4 Er 2.91

---

Entry 2:
A plane-wave DFT calculation with GGA-PBE was carried out for Pr8TlAu2 after structural relaxation.

Polymorph energy (0 for the lowest one), eV/atom: 0.078
Formation energy from the elements, eV/atom: -0.262
V, Å³/atom: 32.3
SG: Cm, No. 8
Magnetic moment, μB/f.u.: 0.00

a = 8.5096 Å, b = 8.5096 Å, c = 5.7069 Å
α = 99.08°, β = 99.08°, γ = 115.63°
With the nearest neighbours (Å) after each atom.
Element x y z (fractional)
Pr 0.0000 0.0000 0.0000  2 Au 3.25, 2 Pr 3.30-3.48, 1 Tl 3.41
Pr 0.0789 0.3153 0.6125  2 Au 3.10-3.24, 2 Pr 3.40-3.42
Pr 0.1586 0.6358 0.1905  2 Au 3.03
Pr 0.3153 0.0789 0.6125  2 Au 3.10-3.24, 2 Pr 3.40-3.42
Pr 0.4747 0.7091 0.7719  2 Au 3.09-3.27, 2 Pr 3.38-3.42
Pr 0.6358 0.1586 0.1905  2 Au 3.03
Pr 0.7091 0.4747 0.7719  2 Au 3.09-3.27, 2 Pr 3.38-3.42
Pr 0.7892 0.7892 0.3821  2 Au 3.23, 2 Pr 3.30-3.48, 1 Tl 3.42
Tl 0.3943 0.3943 0.1925  12 Pr 3.41-3.79
Au 0.0827 0.7025 0.6880  8 Pr 3.03-3.27
Au 0.7025 0.0827 0.6880  8 Pr 3.03-3.27

---

Entry 3:
A plane-wave DFT calculation with GGA-PBE was carried out for CaGa2PdRh after structural relaxation.

Formation energy from the elements, eV/atom: -0.721
V, Å³/atom: 18.8
SG: I-4m2, No. 119
Magnetic moment, μB/f.u.: 0.00

a = 4.2271 Å, b = 4.2271 Å, c = 10.5222 Å
α = 90.00°, β = 90.00°, γ = 90.00°
With the nearest neighbours (Å) after each atom.
Element x y z (fractional)
Ca 0.0000 0.0000 0.0000  8 Ga 3.26, 4 Rh 3.37, 4 Pd 3.37
Ca 0.5000 0.5000 0.5000  8 Ga 3.26, 4 Rh 3.37, 4 Pd 3.37
Ga 0.0000 0.0000 0.3764  2 Rh 2.50, 2 Pd 2.50, 1 Ga 2.60
Ga 0.0000 0.0000 0.6236  2 Rh 2.50, 2 Pd 2.50, 1 Ga 2.60
Ga 0.5000 0.5000 0.1236  2 Rh 2.50, 2 Pd 2.50, 1 Ga 2.60
Ga 0.5000 0.5000 0.8764  2 Rh 2.50, 2 Pd 2.50, 1 Ga 2.60
Pd 0.0000 0.5000 0.2500  4 Ga 2.50
Pd 0.5000 0.0000 0.7500  4 Ga 2.50
Rh 0.0000 0.5000 0.7500  4 Ga 2.50
Rh 0.5000 0.0000 0.2500  4 Ga 2.50

---

Entry 4:
A plane-wave DFT calculation with GGA-PBE was carried out for Rb4PdBr5 after structural relaxation.

V, Å³/atom: 38.5
SG: I4, No. 79
Magnetic moment, μB/f.u.: 1.00
Formation energy without anion corrections, eV/atom: -1.297

a = 8.1913 Å, b = 8.1913 Å, c = 8.1913 Å
α = 100.65°, β = 100.65°, γ = 129.09°
With the nearest neighbours (Å) after each atom.
Element x y z (fractional)
Rb 0.0925 0.7051 0.7976  5 Br 3.24-3.57
Rb 0.2949 0.0925 0.3874  5 Br 3.24-3.57
Rb 0.7051 0.9075 0.6126  5 Br 3.24-3.57
Rb 0.9075 0.2949 0.2024  5 Br 3.24-3.57
Pd 0.4907 0.4907 0.0000  4 Br 2.77
Br 0.0325 0.0325 0.0000  1 Pd 3.23, 4 Rb 3.24
Br 0.2507 0.4220 0.6666  1 Pd 2.77
Br 0.4220 0.7555 0.1713  1 Pd 2.77
Br 0.5841 0.2507 0.8287  1 Pd 2.77
Br 0.7555 0.5841 0.3334  1 Pd 2.77

---

> Look up the V of the first one.

19.0 Å³/atom

---

> magnetic moment of number 3 (CaGa2PdRh)?

0.00 μB/f.u.

---

> The highest magnetic moment belongs to which entry?

Rb4PdBr5